A relaxed structure of Cs2YHfCd. Source: the Alexandria database, functional GGA-PBE.

space-group type: P4/mmm (123)
M_tot: 0.0 μB/cell
formation energy from the elements: 1.1996 eV/atom

Unit cell a=7.3068 b=5.4189 c=7.3068 alpha=90.00 beta=90.00 gamma=90.00
Closest atoms and distances in Å follow each position.
Positions (direct):
Cs1 0.0000 0.0000 0.5000  2 Y 3.65
Cs2 0.5000 0.0000 0.0000  2 Y 3.65
Y1 0.0000 0.0000 0.0000  2 Hf 2.71
Hf1 0.0000 0.5000 0.0000  2 Y 2.71
Cd1 0.5000 0.5000 0.5000  8 Cs 4.55

***

A relaxed structure of CsCdHg4. Source: the Alexandria database, functional GGA-PBE.

E above lowest polymorph: 26 meV per atom
space-group type: C2/m (12)
M_tot: 0.0 μB/cell
formation energy from the elements: -0.1154 eV/atom

Unit cell a=5.1432 b=7.9313 c=7.9313 alpha=47.72 beta=71.14 gamma=71.14
Closest atoms and distances in Å follow each position.
Positions (direct):
Cs1 0.0019 0.5027 0.4987  8 Hg 3.94-3.95, 4 Cd 4.11
Cd1 0.5025 0.0027 0.9987  4 Hg 3.03
Hg1 0.6897 0.0703 0.5554  1 Cd 3.03, 4 Hg 3.08-3.28
Hg2 0.3136 0.9351 0.4420  1 Cd 3.03, 4 Hg 3.08-3.28
Hg3 0.3136 0.4460 0.9311  1 Cd 3.03, 4 Hg 3.08-3.28
Hg4 0.6897 0.5594 0.0663  1 Cd 3.03, 4 Hg 3.08-3.28

***

A relaxed structure of CsCdHg2. Source: the Alexandria database, functional GGA-PBE.

space-group type: I-42d (122)
M_tot: 0.0 μB/cell
formation energy from the elements: -0.1067 eV/atom

Unit cell a=6.0168 b=6.0168 c=11.0298 alpha=74.17 beta=74.17 gamma=90.00
Closest atoms and distances in Å follow each position.
Positions (direct):
Cs1 0.0000 0.0000 0.0000  8 Hg 4.21-4.22, 4 Cd 4.25
Cs2 0.7500 0.2500 0.5000  8 Hg 4.21-4.22, 4 Cd 4.25
Hg1 0.3739 0.1250 0.2500  2 Cd 2.96, 2 Hg 3.01
Hg2 0.3761 0.6250 0.2500  2 Cd 2.96, 2 Hg 3.01
Hg3 0.3750 0.6261 0.7500  2 Cd 2.96, 2 Hg 3.01
Hg4 0.8750 0.6239 0.7500  2 Cd 2.96, 2 Hg 3.01
Cd1 0.5000 0.5000 0.0000  4 Hg 2.96
Cd2 0.2500 0.7500 0.5000  4 Hg 2.96